(1)
A plane-wave DFT calculation with GGA-PBE was carried out for a relaxed B3Rh5 crystal.

Calculated values
Its total magnetization is 0.00 μB per formula unit. For the volume, the calculation gives 184.43 Å³ per cell. For the energy relative to the elements, the calculation gives -0.21 eV per atom.

abc: 3.3979 6.1229 8.8646
angles: 90.00 90.00 90.00
Fractional positions:
Rh 0.0000 0.1497 0.2035
Rh 0.5000 0.1720 0.9067
B 0.5000 0.5084 0.8160
Rh 0.0000 0.3503 0.7035
B 0.5000 0.9916 0.3160
Rh 0.5000 0.6720 0.5933
B 0.5000 0.4916 0.1840
Rh 0.0000 0.5000 0.0000
Rh 0.0000 0.6497 0.2965
B 0.0000 0.5000 0.5000
Rh 0.0000 0.8503 0.7965
B 0.5000 0.0084 0.6840
Rh 0.5000 0.8280 0.0933
B 0.0000 0.0000 0.0000
Rh 0.0000 0.0000 0.5000
Rh 0.5000 0.3280 0.4067



(2)
A plane-wave DFT calculation with GGA-PBE was carried out for a relaxed Sr2RhW crystal.

Calculated values
Its total magnetization is 0.00 μB per formula unit. For the volume, the calculation gives 110.88 Å³ per cell. The offset from the most stable computed form is 0.000 eV per atom. For the energy relative to the elements, the calculation gives 0.39 eV per atom.

abc: 3.4039 3.4039 9.5692
angles: 90.00 90.00 90.00
Fractional positions:
W 0.0000 0.0000 0.5755
Sr 0.5000 0.5000 0.3187
Rh 0.5000 0.5000 0.6798
Sr 0.0000 0.0000 0.9260



(3)
A plane-wave DFT calculation with GGA-PBE was carried out for a relaxed ZrZnRu2 crystal.

Calculated values
Its total magnetization is 0.00 μB per formula unit. For the volume, the calculation gives 64.04 Å³ per cell. For the energy relative to the elements, the calculation gives -0.10 eV per atom.

abc: 5.0932 5.0932 5.0932
angles: 143.53 124.09 68.62
Fractional positions:
Zr 0.2500 0.7500 0.5000
Ru 0.5027 0.5027 0.0000
Ru 0.9973 0.9973 0.0000
Zn 0.7500 0.2500 0.5000



(4)
A plane-wave DFT calculation with GGA-PBE was carried out for a relaxed HgSb2Te crystal.

Calculated values
Its total magnetization is 0.00 μB per formula unit. The value obtained for the energy relative to the elements, uncorrected is 0.91 eV per formula unit. For the volume, the calculation gives 124.56 Å³ per cell. The offset from the most stable computed form is 0.193 eV per atom.

abc: 3.8011 4.4265 7.4030
angles: 90.00 90.00 90.00
Fractional positions:
Sb 0.0000 0.0000 0.4440
Te 0.5000 0.5000 0.2500
Sb 0.0000 0.0000 0.0560
Hg 0.5000 0.5000 0.7500



(5)
A plane-wave DFT calculation with GGA-PBE was carried out for a relaxed U3Os2Ru2 crystal.

Calculated values
Its total magnetization is 0.00 μB per formula unit. For the volume, the calculation gives 264.79 Å³ per cell. For the energy relative to the elements, the calculation gives -0.04 eV per atom.

abc: 7.0066 7.0066 7.0066
angles: 109.47 109.47 109.47
Fractional positions:
U 0.2500 0.8780 0.1280
Ru 0.5000 0.3354 0.5000
Os 0.1680 0.6680 0.6680
Os 0.0000 0.0000 0.8320
Ru 0.0000 0.0000 0.3354
Ru 0.8354 0.5000 0.0000
U 0.8720 0.2500 0.6220
U 0.6280 0.7500 0.8780
U 0.1220 0.3720 0.2500
Os 0.3320 0.5000 0.0000
Os 0.5000 0.8320 0.5000
Ru 0.6646 0.1646 0.1646
U 0.7500 0.6220 0.3720
U 0.3780 0.1280 0.7500



(6)
A plane-wave DFT calculation with GGA-PBE was carried out for a relaxed Sc4VRu5 crystal.

Calculated values
Its total magnetization is 0.00 μB per formula unit. For the volume, the calculation gives 159.12 Å³ per cell. For the energy relative to the elements, the calculation gives -0.51 eV per atom.

abc: 3.1523 3.1523 16.0136
angles: 90.00 90.00 90.00
Fractional positions:
Ru 0.5000 0.5000 0.2954
Ru 0.5000 0.5000 0.9114
Sc 0.0000 0.0000 0.8016
Sc 0.0000 0.0000 0.3987
V 0.0000 0.0000 0.0000
Sc 0.0000 0.0000 0.1984
Ru 0.5000 0.5000 0.0886
Sc 0.0000 0.0000 0.6013
Ru 0.5000 0.5000 0.7046
Ru 0.5000 0.5000 0.5000